P:
Te3MoO: optimized geometry, PBE with a Hubbard U.

a = 5.213 Å, b = 5.213 Å, c = 5.213 Å
α = 90.00°, β = 90.00°, γ = 90.00°
Fractional coordinates of all 5 atoms:
Te (0.000, 0.000, 0.500)
Te (0.000, 0.500, 0.000)
Te (0.500, 0.000, 0.000)
Mo (0.000, 0.000, 0.000)
O (0.500, 0.500, 0.500)

Calculated values
- space-group type = No. 221
- volume (Å³/atom) = 28.33
- total magnetization (μB/cell) = 0.000

---

Q:
Te3MoO: optimized geometry, PBE with a Hubbard U.

a = 4.862 Å, b = 4.862 Å, c = 4.862 Å
α = 90.00°, β = 90.00°, γ = 90.00°
Fractional coordinates of all 5 atoms:
Te (0.000, 0.000, 0.500)
Te (0.000, 0.500, 0.000)
Te (0.500, 0.000, 0.000)
Mo (0.500, 0.500, 0.500)
O (0.000, 0.000, 0.000)

Calculated values
- space-group type = No. 221
- volume (Å³/atom) = 22.98
- total magnetization (μB/cell) = 3.689

---

Least stable: P

---

P:
Ti2MoO2: optimized geometry, PBE with a Hubbard U.

a = 6.013 Å, b = 6.013 Å, c = 3.064 Å
α = 90.00°, β = 90.00°, γ = 90.00°
Fractional coordinates of all 10 atoms:
Ti (0.161, 0.339, 0.000)
Ti (0.339, 0.839, 0.000)
Ti (0.661, 0.161, 0.000)
Ti (0.839, 0.661, 0.000)
Mo (0.000, 0.000, 0.500)
Mo (0.500, 0.500, 0.500)
O (0.149, 0.649, 0.500)
O (0.351, 0.149, 0.500)
O (0.649, 0.851, 0.500)
O (0.851, 0.351, 0.500)

Calculated values
- space-group type = No. 127
- volume (Å³/atom) = 11.08
- total magnetization (μB/cell) = 0.000

---

Q:
Ti2MoO2: optimized geometry, PBE with a Hubbard U.

a = 5.380 Å, b = 5.380 Å, c = 5.380 Å
α = 135.17°, β = 135.17°, γ = 65.27°
Fractional coordinates of all 5 atoms:
Ti (0.250, 0.750, 0.500)
Ti (0.750, 0.250, 0.500)
Mo (0.000, 0.000, 0.000)
O (0.240, 0.240, 0.000)
O (0.760, 0.760, 0.000)

Calculated values
- space-group type = No. 139
- volume (Å³/atom) = 15.25
- total magnetization (μB/cell) = 1.412

---

Least stable: P

---

P:
TiMoO2: optimized geometry, PBE with a Hubbard U.

a = 5.935 Å, b = 5.935 Å, c = 5.935 Å
α = 131.67°, β = 131.67°, γ = 70.75°
Fractional coordinates of all 8 atoms:
Ti (0.000, 0.000, 0.000)
Ti (0.750, 0.250, 0.500)
Mo (0.250, 0.750, 0.500)
Mo (0.500, 0.500, 0.000)
O (0.064, 0.625, 0.939)
O (0.375, 0.314, 0.439)
O (0.686, 0.125, 0.061)
O (0.875, 0.936, 0.561)

Calculated values
- space-group type = No. 122
- volume (Å³/atom) = 14.28
- total magnetization (μB/cell) = 6.331

---

Q:
TiMoO2: optimized geometry, PBE with a Hubbard U.

a = 3.881 Å, b = 3.881 Å, c = 3.881 Å
α = 60.00°, β = 60.00°, γ = 60.00°
Fractional coordinates of all 4 atoms:
Ti (0.000, 0.000, 0.000)
Mo (0.500, 0.500, 0.500)
O (0.250, 0.250, 0.250)
O (0.750, 0.750, 0.750)

Calculated values
- space-group type = No. 225
- volume (Å³/atom) = 10.33
- total magnetization (μB/cell) = 1.967

---

Least stable: Q

---

P:
Tl3MoO: optimized geometry, PBE with a Hubbard U.

a = 5.599 Å, b = 5.599 Å, c = 5.599 Å
α = 90.00°, β = 90.00°, γ = 90.00°
Fractional coordinates of all 5 atoms:
Tl (0.000, 0.000, 0.500)
Tl (0.000, 0.500, 0.000)
Tl (0.500, 0.000, 0.000)
Mo (0.000, 0.000, 0.000)
O (0.500, 0.500, 0.500)

Calculated values
- space-group type = No. 221
- volume (Å³/atom) = 35.11
- total magnetization (μB/cell) = 4.908

---

Q:
Tl3MoO: optimized geometry, PBE with a Hubbard U.

a = 5.073 Å, b = 5.073 Å, c = 5.073 Å
α = 90.00°, β = 90.00°, γ = 90.00°
Fractional coordinates of all 5 atoms:
Tl (0.000, 0.000, 0.500)
Tl (0.000, 0.500, 0.000)
Tl (0.500, 0.000, 0.000)
Mo (0.500, 0.500, 0.500)
O (0.000, 0.000, 0.000)

Calculated values
- space-group type = No. 221
- volume (Å³/atom) = 26.11
- total magnetization (μB/cell) = 4.741

---

Least stable: P

---

P:
TlMo2O6: optimized geometry, PBE with a Hubbard U.

a = 5.293 Å, b = 5.293 Å, c = 8.163 Å
α = 105.62°, β = 105.62°, γ = 43.01°
Fractional coordinates of all 9 atoms:
Tl (0.000, 0.000, 0.000)
Mo (0.170, 0.170, 0.614)
Mo (0.830, 0.830, 0.386)
O (0.001, 0.001, 0.345)
O (0.293, 0.293, 0.818)
O (0.307, 0.307, 0.446)
O (0.693, 0.693, 0.554)
O (0.707, 0.707, 0.182)
O (0.999, 0.999, 0.655)

Calculated values
- space-group type = No. 12
- volume (Å³/atom) = 16.59
- total magnetization (μB/cell) = 1.000

---

Q:
TlMo2O6: optimized geometry, PBE with a Hubbard U.

a = 8.995 Å, b = 8.995 Å, c = 5.955 Å
α = 107.66°, β = 107.66°, γ = 77.60°
Fractional coordinates of all 18 atoms:
Tl (0.143, 0.857, 0.750)
Tl (0.857, 0.143, 0.250)
Mo (0.205, 0.416, 0.314)
Mo (0.416, 0.205, 0.814)
Mo (0.584, 0.795, 0.186)
Mo (0.795, 0.584, 0.686)
O (0.009, 0.377, 0.217)
O (0.224, 0.618, 0.430)
O (0.306, 0.319, 0.055)
O (0.319, 0.306, 0.555)
O (0.377, 0.009, 0.717)
O (0.382, 0.776, 0.070)
O (0.618, 0.224, 0.930)
O (0.623, 0.991, 0.283)
O (0.681, 0.694, 0.445)
O (0.694, 0.681, 0.945)
O (0.776, 0.382, 0.570)
O (0.991, 0.623, 0.783)

Calculated values
- space-group type = No. 15
- volume (Å³/atom) = 24.08
- total magnetization (μB/cell) = 2.000

---

Least stable: Q

---

P:
Tl2Mo2O: optimized geometry, PBE with a Hubbard U.

a = 6.801 Å, b = 6.801 Å, c = 4.887 Å
α = 90.00°, β = 90.00°, γ = 90.00°
Fractional coordinates of all 10 atoms:
Tl (0.160, 0.340, 0.000)
Tl (0.340, 0.840, 0.000)
Tl (0.660, 0.160, 0.000)
Tl (0.840, 0.660, 0.000)
Mo (0.162, 0.662, 0.500)
Mo (0.338, 0.162, 0.500)
Mo (0.662, 0.838, 0.500)
Mo (0.838, 0.338, 0.500)
O (0.000, 0.000, 0.000)
O (0.500, 0.500, 0.000)

Calculated values
- space-group type = No. 127
- volume (Å³/atom) = 22.61
- total magnetization (μB/cell) = 17.023

---

Q:
Tl2Mo2O: optimized geometry, PBE with a Hubbard U.

a = 8.441 Å, b = 8.441 Å, c = 8.441 Å
α = 155.28°, β = 155.28°, γ = 35.24°
Fractional coordinates of all 5 atoms:
Tl (0.087, 0.087, 0.000)
Tl (0.913, 0.913, 0.000)
Mo (0.250, 0.750, 0.500)
Mo (0.750, 0.250, 0.500)
O (0.500, 0.500, 0.000)

Calculated values
- space-group type = No. 139
- volume (Å³/atom) = 21.01
- total magnetization (μB/cell) = 2.149

---

Least stable: Q

---

P:
TlMo3O9: optimized geometry, PBE with a Hubbard U.

a = 8.741 Å, b = 8.741 Å, c = 6.560 Å
α = 92.62°, β = 92.62°, γ = 53.27°
Fractional coordinates of all 26 atoms:
Tl (0.207, 0.207, 0.330)
Tl (0.793, 0.793, 0.670)
Mo (0.186, 0.707, 0.232)
Mo (0.293, 0.814, 0.768)
Mo (0.385, 0.385, 0.863)
Mo (0.615, 0.615, 0.137)
Mo (0.707, 0.186, 0.232)
Mo (0.814, 0.293, 0.768)
O (0.037, 0.037, 0.794)
O (0.081, 0.599, 0.291)
O (0.185, 0.659, 0.913)
O (0.241, 0.759, 0.500)
O (0.289, 0.289, 0.983)
O (0.341, 0.815, 0.087)
O (0.356, 0.356, 0.605)
O (0.401, 0.919, 0.709)
O (0.465, 0.465, 0.193)
O (0.535, 0.535, 0.807)
O (0.599, 0.081, 0.291)
O (0.644, 0.644, 0.395)
O (0.659, 0.185, 0.913)
O (0.711, 0.711, 0.017)
O (0.759, 0.241, 0.500)
O (0.815, 0.341, 0.087)
O (0.919, 0.401, 0.709)
O (0.963, 0.963, 0.206)

Calculated values
- space-group type = No. 12
- volume (Å³/atom) = 15.43
- total magnetization (μB/cell) = 0.004

---

Q:
TlMo3O9: optimized geometry, PBE with a Hubbard U.

a = 8.496 Å, b = 8.496 Å, c = 8.977 Å
α = 90.00°, β = 90.00°, γ = 106.48°
Fractional coordinates of all 26 atoms:
Tl (0.123, 0.123, 0.000)
Tl (0.877, 0.877, 0.500)
Mo (0.252, 0.252, 0.500)
Mo (0.292, 0.683, 0.957)
Mo (0.317, 0.708, 0.543)
Mo (0.683, 0.292, 0.043)
Mo (0.708, 0.317, 0.457)
Mo (0.748, 0.748, 0.000)
O (0.143, 0.160, 0.344)
O (0.160, 0.143, 0.656)
O (0.183, 0.794, 0.054)
O (0.206, 0.817, 0.446)
O (0.222, 0.473, 0.996)
O (0.246, 0.471, 0.508)
O (0.274, 0.726, 0.750)
O (0.471, 0.246, 0.492)
O (0.473, 0.222, 0.004)
O (0.527, 0.778, 0.504)
O (0.529, 0.754, 0.992)
O (0.726, 0.274, 0.250)
O (0.754, 0.529, 0.008)
O (0.778, 0.527, 0.496)
O (0.794, 0.183, 0.946)
O (0.817, 0.206, 0.554)
O (0.840, 0.857, 0.156)
O (0.857, 0.840, 0.844)

Calculated values
- space-group type = No. 20
- volume (Å³/atom) = 23.90
- total magnetization (μB/cell) = 2.000

---

Least stable: Q

---

P:
VMo2O8: optimized geometry, PBE with a Hubbard U.

a = 6.684 Å, b = 6.684 Å, c = 5.268 Å
α = 93.07°, β = 93.07°, γ = 50.48°
Fractional coordinates of all 11 atoms:
V (0.000, 0.000, 0.000)
Mo (0.155, 0.155, 0.623)
Mo (0.845, 0.845, 0.377)
O (0.097, 0.097, 0.285)
O (0.130, 0.672, 0.184)
O (0.299, 0.299, 0.632)
O (0.328, 0.870, 0.816)
O (0.672, 0.130, 0.184)
O (0.701, 0.701, 0.368)
O (0.870, 0.328, 0.816)
O (0.903, 0.903, 0.715)

Calculated values
- space-group type = No. 12
- volume (Å³/atom) = 16.47
- total magnetization (μB/cell) = 1.000

---

Q:
VMo2O8: optimized geometry, PBE with a Hubbard U.

a = 7.172 Å, b = 7.172 Å, c = 10.271 Å
α = 121.87°, β = 121.87°, γ = 57.41°
Fractional coordinates of all 22 atoms:
V (0.022, 0.978, 0.750)
V (0.978, 0.022, 0.250)
Mo (0.239, 0.677, 0.499)
Mo (0.323, 0.761, 0.001)
Mo (0.677, 0.239, 0.999)
Mo (0.761, 0.323, 0.501)
O (0.038, 0.233, 0.473)
O (0.117, 0.759, 0.320)
O (0.123, 0.680, 0.793)
O (0.233, 0.038, 0.973)
O (0.241, 0.883, 0.180)
O (0.320, 0.877, 0.707)
O (0.372, 0.403, 0.974)
O (0.403, 0.372, 0.474)
O (0.597, 0.628, 0.526)
O (0.628, 0.597, 0.026)
O (0.680, 0.123, 0.293)
O (0.759, 0.117, 0.820)
O (0.767, 0.962, 0.027)
O (0.877, 0.320, 0.207)
O (0.883, 0.241, 0.680)
O (0.962, 0.767, 0.527)

Calculated values
- space-group type = No. 15
- volume (Å³/atom) = 16.16
- total magnetization (μB/cell) = 2.000

---

Least stable: P

---

P:
YMoO2: optimized geometry, PBE with a Hubbard U.

a = 6.493 Å, b = 6.493 Å, c = 6.493 Å
α = 132.20°, β = 132.20°, γ = 69.92°
Fractional coordinates of all 8 atoms:
Y (0.000, 0.000, 0.000)
Y (0.750, 0.250, 0.500)
Mo (0.250, 0.750, 0.500)
Mo (0.500, 0.500, 0.000)
O (0.089, 0.625, 0.964)
O (0.375, 0.339, 0.464)
O (0.661, 0.125, 0.036)
O (0.875, 0.911, 0.536)

Calculated values
- space-group type = No. 122
- volume (Å³/atom) = 18.42
- total magnetization (μB/cell) = 9.873

---

Q:
YMoO2: optimized geometry, PBE with a Hubbard U.

a = 4.103 Å, b = 4.103 Å, c = 4.103 Å
α = 60.00°, β = 60.00°, γ = 60.00°
Fractional coordinates of all 4 atoms:
Y (0.000, 0.000, 0.000)
Mo (0.500, 0.500, 0.500)
O (0.250, 0.250, 0.250)
O (0.750, 0.750, 0.750)

Calculated values
- space-group type = No. 225
- volume (Å³/atom) = 12.21
- total magnetization (μB/cell) = 1.000

---

R:
YMoO2: optimized geometry, PBE with a Hubbard U.

a = 6.730 Å, b = 6.730 Å, c = 6.730 Å
α = 30.03°, β = 30.03°, γ = 30.03°
Fractional coordinates of all 4 atoms:
Y (0.000, 0.000, 0.000)
Mo (0.500, 0.500, 0.500)
O (0.389, 0.389, 0.389)
O (0.611, 0.611, 0.611)

Calculated values
- space-group type = No. 166
- volume (Å³/atom) = 16.91
- total magnetization (μB/cell) = 4.034

---

Least stable: Q

---

P:
ZnMo2O5: optimized geometry, PBE with a Hubbard U.

a = 3.974 Å, b = 11.370 Å, c = 7.748 Å
α = 90.00°, β = 90.00°, γ = 90.00°
Fractional coordinates of all 16 atoms:
Zn (0.250, 0.250, 0.112)
Zn (0.750, 0.750, 0.888)
Mo (0.250, 0.584, 0.389)
Mo (0.250, 0.916, 0.389)
Mo (0.750, 0.084, 0.611)
Mo (0.750, 0.416, 0.611)
O (0.250, 0.065, 0.540)
O (0.250, 0.435, 0.540)
O (0.250, 0.555, 0.174)
O (0.250, 0.750, 0.448)
O (0.250, 0.945, 0.174)
O (0.750, 0.055, 0.826)
O (0.750, 0.250, 0.552)
O (0.750, 0.445, 0.826)
O (0.750, 0.565, 0.460)
O (0.750, 0.935, 0.460)

Calculated values
- space-group type = No. 59
- volume (Å³/atom) = 21.88
- total magnetization (μB/cell) = 3.998

---

Q:
ZnMo2O5: optimized geometry, PBE with a Hubbard U.

a = 5.571 Å, b = 5.571 Å, c = 12.115 Å
α = 90.00°, β = 90.00°, γ = 139.51°
Fractional coordinates of all 16 atoms:
Zn (0.096, 0.904, 0.750)
Zn (0.904, 0.096, 0.250)
Mo (0.202, 0.798, 0.099)
Mo (0.202, 0.798, 0.401)
Mo (0.798, 0.202, 0.599)
Mo (0.798, 0.202, 0.901)
O (0.031, 0.969, 0.131)
O (0.031, 0.969, 0.369)
O (0.233, 0.767, 0.575)
O (0.233, 0.767, 0.925)
O (0.301, 0.699, 0.250)
O (0.699, 0.301, 0.750)
O (0.767, 0.233, 0.075)
O (0.767, 0.233, 0.425)
O (0.969, 0.031, 0.631)
O (0.969, 0.031, 0.869)

Calculated values
- space-group type = No. 63
- volume (Å³/atom) = 15.26
- total magnetization (μB/cell) = 8.000

---

Least stable: P